The following is a GGA+U calculation of a geometry-optimized PmVHgO4 structure, from Alexandria.

The space group is C2/m (No. 12) and the conventional cell measures 11.643, 6.713 and 6.932 Å, with angles of 90.00, 102.85 and 90.00 degrees. The distinct sites, in fractional coordinates, are Pm at (0.212, 0.000, 0.347), V at (0.138, 0.000, 0.770), Hg at (0.027, 0.500, 0.237), O at (0.012, 0.000, 0.252), O at (0.182, 0.200, 0.635) and O at (0.211, 0.000, 0.013).

The calculated density is 5791 kg/m3. The calculation puts the electronic total energy at -6.834 eV/atom. As for the total magnetization: 0.000 μB/f.u. The calculation puts the density of states at the Fermi level at 0.0 states/eV/cell. The value obtained for the volume is 18.865 A^3/atom.


The following is a GGA+U calculation of a geometry-optimized PmV2HgO6 structure, from Alexandria.

The space group is C2/c (No. 15) and the conventional cell measures 11.116, 10.376 and 6.079 Å, with angles of 90.00, 102.97 and 90.00 degrees. The distinct sites, in fractional coordinates, are Pm at (0.000, 0.118, 0.250), V at (0.217, 0.423, 0.319), Hg at (0.000, 0.300, 0.750), O at (0.121, 0.048, 0.607), O at (0.156, 0.268, 0.279) and O at (0.161, 0.496, 0.550).

The calculated density is 5283 kg/m3. The calculation puts the electronic total energy at -6.998 eV/atom. As for the total magnetization: 1.000 μB/f.u. The calculation puts the density of states at the Fermi level at 16.7 states/eV/cell. The value obtained for the volume is 17.082 A^3/atom.


The following is a GGA+U calculation of a geometry-optimized Pm2HgWO8 structure, from Alexandria.

The space group is P-1 (No. 2) and the conventional cell measures 4.594, 5.213 and 7.248 Å, with angles of 84.97, 89.04 and 84.93 degrees. The distinct sites, in fractional coordinates, are Pm at (0.092, 0.484, 0.260), Hg at (0.500, 0.000, 0.000), W at (0.500, 0.000, 0.500), O at (0.161, 0.229, 0.544), O at (0.204, 0.313, 0.980), O at (0.313, 0.897, 0.263) and O at (0.365, 0.719, 0.657).

The calculated density is 7736 kg/m3. The calculation puts the electronic total energy at -6.767 eV/atom. As for the total magnetization: 0.000 μB/f.u. The calculation puts the density of states at the Fermi level at 3.1 states/eV/cell. The value obtained for the volume is 14.353 A^3/atom.


> Which value of calculated density does entry 3 give?

7736 kg/m3